No. 1
Here is Ru2PtPb at its PBEsol-relaxed geometry from Alexandria via LeMat-Bulk. Energies are from SCAN.

The value obtained for the formation energy is 0.53 eV per atom. For the total energy, the calculation gives -427.0 eV/cell.

The structure in CIF format:
```
data_Ru2PtPb
_chemical_formula_sum 'Ru4 Pt2 Pb2'
_symmetry_space_group_name_H-M 'I m m 2'
_symmetry_Int_Tables_number 44
_symmetry_space_group_name_Hall 'I 2 -2'
_cell_length_a 2.887
_cell_length_b 4.672
_cell_length_c 9.624
_cell_angle_alpha 90.00
_cell_angle_beta 90.00
_cell_angle_gamma 90.00
loop_
_atom_site_label
_atom_site_fract_x
_atom_site_fract_y
_atom_site_fract_z
Ru1 0.000 0.000 0.000
Ru2 0.000 0.500 0.280
Pt1 0.000 0.000 0.526
Pb1 0.000 0.500 0.760
```



No. 2
Here is Ru2PtPb at its PBEsol-relaxed geometry from Alexandria via LeMat-Bulk. Energies are from SCAN.

The value obtained for the formation energy is 0.53 eV per atom. For the total energy, the calculation gives -213.5 eV/cell.

The structure in CIF format:
```
data_Ru2PtPb
_chemical_formula_sum 'Ru2 Pt1 Pb1'
_symmetry_space_group_name_H-M 'P 4/m m m'
_symmetry_Int_Tables_number 123
_symmetry_space_group_name_Hall '-P 4 2'
_cell_length_a 2.965
_cell_length_b 2.965
_cell_length_c 7.335
_cell_angle_alpha 90.00
_cell_angle_beta 90.00
_cell_angle_gamma 90.00
loop_
_atom_site_label
_atom_site_fract_x
_atom_site_fract_y
_atom_site_fract_z
Ru1 0.000 0.000 0.226
Pt1 0.500 0.500 0.000
Pb1 0.500 0.500 0.500
```



No. 3
Here is Ru2PtPb at its PBEsol-relaxed geometry from Alexandria via LeMat-Bulk. Energies are from SCAN.

The value obtained for the formation energy is 0.47 eV per atom. For the total energy, the calculation gives -213.8 eV/cell.

The structure in CIF format:
```
data_Ru2PtPb
_chemical_formula_sum 'Ru2 Pt1 Pb1'
_symmetry_space_group_name_H-M 'P m m 2'
_symmetry_Int_Tables_number 25
_symmetry_space_group_name_Hall 'P 2 -2'
_cell_length_a 2.901
_cell_length_b 4.581
_cell_length_c 4.797
_cell_angle_alpha 90.00
_cell_angle_beta 90.00
_cell_angle_gamma 90.00
loop_
_atom_site_label
_atom_site_fract_x
_atom_site_fract_y
_atom_site_fract_z
Ru1 0.000 0.000 0.000
Ru2 0.500 0.500 0.154
Pt1 0.500 0.000 0.469
Pb1 0.000 0.500 0.659
```



No. 4
Here is RuPtPb at its PBEsol-relaxed geometry from Alexandria via LeMat-Bulk. Energies are from SCAN.

The value obtained for the formation energy is 0.44 eV per atom. For the total energy, the calculation gives -718.0 eV/cell.

The structure in CIF format:
```
data_RuPtPb
_chemical_formula_sum 'Ru4 Pt4 Pb4'
_symmetry_space_group_name_H-M 'F -4 3 m'
_symmetry_Int_Tables_number 216
_symmetry_space_group_name_Hall 'F -4 2 3'
_cell_length_a 6.211
_cell_length_b 6.211
_cell_length_c 6.211
_cell_angle_alpha 90.00
_cell_angle_beta 90.00
_cell_angle_gamma 90.00
loop_
_atom_site_label
_atom_site_fract_x
_atom_site_fract_y
_atom_site_fract_z
Ru1 0.000 0.000 0.000
Pt1 0.250 0.250 0.250
Pb1 0.000 0.000 0.500
```